VASP calculation (GGA-PBE) on a relaxed structure of Ni15Ge4Rh.

a b c (Å): 3.590 3.590 17.883
angles (deg): 90.00 90.00 90.00
Fractional positions:
Ni 0.000 0.000 0.000
Ni 0.000 0.000 0.201
Ni 0.000 0.000 0.400
Ni 0.000 0.000 0.600
Ni 0.000 0.000 0.799
Ni 0.000 0.500 0.102
Ni 0.000 0.500 0.300
Ni 0.000 0.500 0.500
Ni 0.000 0.500 0.700
Ni 0.000 0.500 0.898
Ni 0.500 0.000 0.102
Ni 0.500 0.000 0.300
Ni 0.500 0.000 0.500
Ni 0.500 0.000 0.700
Ni 0.500 0.000 0.898
Ge 0.500 0.500 0.201
Ge 0.500 0.500 0.400
Ge 0.500 0.500 0.600
Ge 0.500 0.500 0.799
Rh 0.500 0.500 0.000

Summary:
As for the symmetry: P4/mmm, No. 123. As for the energy of formation from the pure elements: -0.21 eV/atom. Its total magnetization is 2.31 μB/f.u.

VASP calculation (GGA-PBE) on a relaxed structure of NaFe3Ag.

a b c (Å): 4.454 4.454 4.454
angles (deg): 90.00 90.00 90.00
Fractional positions:
Na 0.000 0.000 0.000
Fe 0.000 0.000 0.500
Fe 0.000 0.500 0.000
Fe 0.500 0.000 0.000
Ag 0.500 0.500 0.500

Summary:
As for the symmetry: Pm-3m, No. 221. As for the energy of formation from the pure elements: 1.85 eV/atom. Its total magnetization is 8.31 μB/f.u.

VASP calculation (GGA-PBE) on a relaxed structure of InRu.

a b c (Å): 5.434 5.434 6.920
angles (deg): 106.47 106.47 32.28
Fractional positions:
In 0.000 0.000 0.000
In 0.031 0.031 0.594
In 0.332 0.332 0.241
Ru 0.310 0.310 0.644
Ru 0.638 0.638 0.346
Ru 0.717 0.717 0.900

Summary:
As for the symmetry: Cm, No. 8. As for the energy of formation from the pure elements: 0.18 eV/atom. Its total magnetization is 0.00 μB/f.u.

VASP calculation (GGA-PBE) on a relaxed structure of K3Au5F12.

a b c (Å): 12.558 12.558 12.558
angles (deg): 109.47 109.47 109.47
Fractional positions:
K 0.125 0.250 0.375
K 0.125 0.375 0.750
K 0.250 0.375 0.125
K 0.250 0.875 0.625
K 0.375 0.125 0.250
K 0.375 0.750 0.125
K 0.625 0.250 0.875
K 0.625 0.875 0.750
K 0.750 0.125 0.375
K 0.750 0.625 0.875
K 0.875 0.625 0.250
K 0.875 0.750 0.625
Au 0.000 0.000 0.000
Au 0.000 0.000 0.500
Au 0.000 0.500 0.000
Au 0.000 0.500 0.500
Au 0.125 0.750 0.875
Au 0.125 0.875 0.250
Au 0.250 0.125 0.875
Au 0.250 0.625 0.375
Au 0.375 0.250 0.625
Au 0.375 0.625 0.750
Au 0.500 0.000 0.000
Au 0.500 0.000 0.500
Au 0.500 0.500 0.000
Au 0.500 0.500 0.500
Au 0.625 0.375 0.250
Au 0.625 0.750 0.375
Au 0.750 0.375 0.625
Au 0.750 0.875 0.125
Au 0.875 0.125 0.750
Au 0.875 0.250 0.125
F 0.029 0.193 0.120
F 0.029 0.336 0.909
F 0.074 0.693 0.664
F 0.074 0.880 0.409
F 0.091 0.620 0.426
F 0.091 0.971 0.664
F 0.120 0.029 0.193
F 0.120 0.591 0.926
F 0.164 0.193 0.574
F 0.164 0.471 0.591
F 0.193 0.120 0.029
F 0.193 0.574 0.164
F 0.307 0.336 0.926
F 0.307 0.471 0.380
F 0.336 0.909 0.029
F 0.336 0.926 0.307
F 0.380 0.307 0.471
F 0.380 0.574 0.909
F 0.409 0.074 0.880
F 0.409 0.836 0.529
F 0.426 0.091 0.620
F 0.426 0.836 0.807
F 0.471 0.380 0.307
F 0.471 0.591 0.164
F 0.529 0.409 0.836
F 0.529 0.620 0.693
F 0.574 0.164 0.193
F 0.574 0.909 0.380
F 0.591 0.164 0.471
F 0.591 0.926 0.120
F 0.620 0.426 0.091
F 0.620 0.693 0.529
F 0.664 0.074 0.693
F 0.664 0.091 0.971
F 0.693 0.529 0.620
F 0.693 0.664 0.074
F 0.807 0.426 0.836
F 0.807 0.880 0.971
F 0.836 0.529 0.409
F 0.836 0.807 0.426
F 0.880 0.409 0.074
F 0.880 0.971 0.807
F 0.909 0.029 0.336
F 0.909 0.380 0.574
F 0.926 0.120 0.591
F 0.926 0.307 0.336
F 0.971 0.664 0.091
F 0.971 0.807 0.880

Summary:
As for the symmetry: Ia-3d, No. 230. The calculation puts the total DFT energy (no corrections) at -3.41 eV per atom. Its total magnetization is 3.82 μB/f.u.

VASP calculation (GGA-PBE) on a relaxed structure of Nd12Cd5Ru3.

a b c (Å): 15.271 15.271 15.271
angles (deg): 109.47 109.47 109.47
Fractional positions:
Nd 0.058 0.630 0.391
Nd 0.058 0.927 0.666
Nd 0.073 0.239 0.130
Nd 0.073 0.334 0.942
Nd 0.109 0.739 0.666
Nd 0.109 0.870 0.442
Nd 0.130 0.073 0.239
Nd 0.130 0.558 0.891
Nd 0.166 0.239 0.609
Nd 0.166 0.427 0.558
Nd 0.239 0.130 0.073
Nd 0.239 0.609 0.166
Nd 0.261 0.334 0.891
Nd 0.261 0.427 0.370
Nd 0.334 0.891 0.261
Nd 0.334 0.942 0.073
Nd 0.370 0.261 0.427
Nd 0.370 0.609 0.942
Nd 0.391 0.058 0.630
Nd 0.391 0.834 0.761
Nd 0.427 0.370 0.261
Nd 0.427 0.558 0.166
Nd 0.442 0.109 0.870
Nd 0.442 0.834 0.573
Nd 0.558 0.166 0.427
Nd 0.558 0.891 0.130
Nd 0.573 0.442 0.834
Nd 0.573 0.630 0.739
Nd 0.609 0.166 0.239
Nd 0.609 0.942 0.370
Nd 0.630 0.391 0.058
Nd 0.630 0.739 0.573
Nd 0.666 0.058 0.927
Nd 0.666 0.109 0.739
Nd 0.739 0.573 0.630
Nd 0.739 0.666 0.109
Nd 0.761 0.391 0.834
Nd 0.761 0.870 0.927
Nd 0.834 0.573 0.442
Nd 0.834 0.761 0.391
Nd 0.870 0.442 0.109
Nd 0.870 0.927 0.761
Nd 0.891 0.130 0.558
Nd 0.891 0.261 0.334
Nd 0.927 0.666 0.058
Nd 0.927 0.761 0.870
Nd 0.942 0.073 0.334
Nd 0.942 0.370 0.609
Cd 0.000 0.000 0.000
Cd 0.000 0.000 0.500
Cd 0.000 0.500 0.000
Cd 0.000 0.500 0.500
Cd 0.125 0.750 0.875
Cd 0.125 0.875 0.250
Cd 0.250 0.125 0.875
Cd 0.250 0.625 0.375
Cd 0.375 0.250 0.625
Cd 0.375 0.625 0.750
Cd 0.500 0.000 0.000
Cd 0.500 0.000 0.500
Cd 0.500 0.500 0.000
Cd 0.500 0.500 0.500
Cd 0.625 0.375 0.250
Cd 0.625 0.750 0.375
Cd 0.750 0.375 0.625
Cd 0.750 0.875 0.125
Cd 0.875 0.125 0.750
Cd 0.875 0.250 0.125
Ru 0.125 0.250 0.375
Ru 0.125 0.375 0.750
Ru 0.250 0.375 0.125
Ru 0.250 0.875 0.625
Ru 0.375 0.125 0.250
Ru 0.375 0.750 0.125
Ru 0.625 0.250 0.875
Ru 0.625 0.875 0.750
Ru 0.750 0.125 0.375
Ru 0.750 0.625 0.875
Ru 0.875 0.625 0.250
Ru 0.875 0.750 0.625

Summary:
As for the symmetry: Ia-3d, No. 230. As for the energy of formation from the pure elements: 0.27 eV/atom. Its total magnetization is 0.00 μB/f.u.

VASP calculation (GGA-PBE) on a relaxed structure of MnV3Ge.

a b c (Å): 2.962 6.137 7.454
angles (deg): 79.08 78.91 89.81
Fractional positions:
Mn 0.102 0.084 0.303
Mn 0.898 0.916 0.697
V 0.293 0.663 0.914
V 0.304 0.134 0.885
V 0.494 0.235 0.518
V 0.506 0.765 0.482
V 0.696 0.866 0.115
V 0.707 0.337 0.086
Ge 0.109 0.535 0.288
Ge 0.891 0.465 0.712

Summary:
As for the symmetry: P-1, No. 2. As for the energy of formation from the pure elements: -0.14 eV/atom. Its total magnetization is 0.00 μB/f.u.

VASP calculation (GGA-PBE) on a relaxed structure of Tl2PtI6.

a b c (Å): 7.794 7.794 13.292
angles (deg): 90.00 90.00 90.00
Fractional positions:
Tl 0.000 0.000 0.149
Tl 0.000 0.000 0.851
Tl 0.500 0.500 0.351
Tl 0.500 0.500 0.649
Pt 0.000 0.000 0.500
Pt 0.500 0.500 0.000
I 0.173 0.173 0.355
I 0.173 0.173 0.645
I 0.247 0.753 0.500
I 0.253 0.253 0.000
I 0.327 0.673 0.145
I 0.327 0.673 0.855
I 0.673 0.327 0.145
I 0.673 0.327 0.855
I 0.747 0.747 0.000
I 0.753 0.247 0.500
I 0.827 0.827 0.355
I 0.827 0.827 0.645

Summary:
As for the symmetry: P4_2/mnm, No. 136. The calculation puts the total DFT energy (no corrections) at -2.54 eV per atom. Its total magnetization is 0.00 μB/f.u.

VASP calculation (GGA-PBE) on a relaxed structure of NbPPtCl2.

a b c (Å): 4.772 4.772 4.799
angles (deg): 90.00 90.00 90.00
Fractional positions:
Nb 0.000 0.000 0.000
P 0.500 0.500 0.000
Pt 0.500 0.500 0.500
Cl 0.000 0.500 0.500
Cl 0.500 0.000 0.500

Summary:
As for the symmetry: P4/mmm, No. 123. The calculation puts the total DFT energy (no corrections) at -4.34 eV per atom. Its total magnetization is 2.33 μB/f.u.

VASP calculation (GGA-PBE) on a relaxed structure of Zn2Ag3Au7.

a b c (Å): 14.420 14.420 14.420
angles (deg): 164.26 164.26 22.32
Fractional positions:
Zn 0.146 0.146 0.000
Zn 0.854 0.854 0.000
Ag 0.334 0.334 0.000
Ag 0.500 0.500 0.000
Ag 0.666 0.666 0.000
Au 0.000 0.000 0.000
Au 0.081 0.581 0.500
Au 0.235 0.235 0.000
Au 0.419 0.919 0.500
Au 0.581 0.081 0.500
Au 0.765 0.765 0.000
Au 0.919 0.419 0.500

Summary:
As for the symmetry: I4/mmm, No. 139. As for the energy of formation from the pure elements: -0.01 eV/atom. Its total magnetization is 0.00 μB/f.u.

VASP calculation (GGA-PBE) on a relaxed structure of RuPt2W.

a b c (Å): 4.781 2.793 4.822
angles (deg): 90.00 109.27 90.00
Fractional positions:
Ru 0.000 0.000 0.000
Pt 0.000 0.500 0.500
Pt 0.500 0.000 0.500
W 0.500 0.500 0.000

Summary:
As for the symmetry: P2/m, No. 10. As for the energy of formation from the pure elements: -0.07 eV/atom. Its total magnetization is 0.00 μB/f.u.

VASP calculation (GGA-PBE) on a relaxed structure of Na5NdBr8.

a b c (Å): 8.100 8.100 8.100
angles (deg): 107.05 107.05 114.42
Fractional positions:
Na 0.000 0.000 0.000
Na 0.175 0.096 0.560
Na 0.385 0.825 0.920
Na 0.535 0.615 0.440
Na 0.904 0.465 0.080
Nd 0.750 0.250 0.500
Br 0.006 0.745 0.649
Br 0.096 0.357 0.351
Br 0.131 0.393 0.839
Br 0.255 0.904 0.261
Br 0.554 0.293 0.161
Br 0.607 0.446 0.739
Br 0.643 0.994 0.739
Br 0.707 0.869 0.261

Summary:
As for the symmetry: I-4, No. 82. The calculation puts the total DFT energy (no corrections) at -3.38 eV per atom. Its total magnetization is 0.00 μB/f.u.

VASP calculation (GGA-PBE) on a relaxed structure of SrBAsSe2.

a b c (Å): 5.099 5.099 4.100
angles (deg): 90.00 90.00 90.00
Fractional positions:
Sr 0.000 0.000 0.000
B 0.500 0.500 0.500
As 0.500 0.500 0.000
Se 0.000 0.500 0.500
Se 0.500 0.000 0.500

Summary:
As for the symmetry: P4/mmm, No. 123. The calculation puts the total DFT energy (no corrections) at -4.16 eV per atom. Its total magnetization is 0.00 μB/f.u.

VASP calculation (GGA-PBE) on a relaxed structure of Sc2ReB.

a b c (Å): 6.464 6.464 6.464
angles (deg): 95.75 95.75 143.09
Fractional positions:
Sc 0.375 0.225 0.350
Sc 0.775 0.125 0.150
Sc 0.875 0.025 0.650
Sc 0.975 0.625 0.850
Re 0.250 0.750 0.500
Re 0.500 0.500 0.000
B 0.000 0.000 0.000
B 0.750 0.250 0.500

Summary:
As for the symmetry: I-42d, No. 122. As for the energy of formation from the pure elements: 0.20 eV/atom. Its total magnetization is 0.00 μB/f.u.

VASP calculation (GGA-PBE) on a relaxed structure of GdPaZnAu.

a b c (Å): 5.100 5.100 5.100
angles (deg): 60.00 60.00 60.00
Fractional positions:
Gd 0.000 0.000 0.000
Pa 0.500 0.500 0.500
Zn 0.750 0.750 0.750
Au 0.250 0.250 0.250

Summary:
As for the symmetry: F-43m, No. 216. As for the energy of formation from the pure elements: -0.21 eV/atom. Its total magnetization is 8.69 μB/f.u.

VASP calculation (GGA-PBE) on a relaxed structure of La3TlN.

a b c (Å): 9.477 9.477 6.390
angles (deg): 92.17 92.17 95.41
Fractional positions:
La 0.062 0.748 0.923
La 0.197 0.578 0.407
La 0.252 0.938 0.577
La 0.318 0.458 0.904
La 0.422 0.803 0.093
La 0.458 0.318 0.404
La 0.542 0.682 0.596
La 0.578 0.197 0.907
La 0.682 0.542 0.096
La 0.748 0.062 0.423
La 0.803 0.422 0.593
La 0.938 0.252 0.077
Tl 0.091 0.239 0.572
Tl 0.239 0.091 0.072
Tl 0.761 0.909 0.928
Tl 0.909 0.761 0.428
N 0.292 0.708 0.750
N 0.437 0.563 0.250
N 0.563 0.437 0.750
N 0.708 0.292 0.250

Summary:
As for the symmetry: C2/c, No. 15. The calculation puts the total DFT energy (no corrections) at -5.76 eV per atom. Its total magnetization is 0.00 μB/f.u.

VASP calculation (GGA-PBE) on a relaxed structure of Na2YTlH.

a b c (Å): 4.685 4.685 4.962
angles (deg): 90.00 90.00 90.00
Fractional positions:
Na 0.000 0.500 0.000
Na 0.500 0.000 0.000
Y 0.000 0.000 0.500
Tl 0.500 0.500 0.500
H 0.000 0.000 0.000

Summary:
As for the symmetry: P4/mmm, No. 123. The calculation puts the total DFT energy (no corrections) at -3.11 eV per atom. Its total magnetization is 0.00 μB/f.u.